Entry 1:
## Li6NiPt2 (PBE-GGA)

Data for an optimized crystal structure of Li6NiPt2.

The structure in POSCAR format:
```
Li6NiPt2
1.0
-0.551 2.321 1.066
-2.686 -3.352 5.965
4.425 -1.527 5.668
Pt Li Ni
2 6 1
Direct
0.000 0.333 0.333 Pt
0.000 0.667 0.667 Pt
0.497 0.000 0.666 Li
0.497 0.666 0.000 Li
0.500 0.334 0.666 Li
0.500 0.666 0.334 Li
0.503 0.334 0.000 Li
0.503 0.000 0.334 Li
0.999 0.000 0.000 Ni
```

Values from the calculation:
space group: No. 12
E_tot: -3.603 eV/atom
energy of formation from the pure elements: -3.08 eV/f.u.

***

Entry 2:
## Li2NiPt (PBE-GGA)

Data for an optimized crystal structure of Li2NiPt.

The structure in POSCAR format:
```
Li2NiPt
1.0
4.939 -0.005 -0.002
2.250 4.397 0.002
-3.031 -3.119 2.342
Li Pt Ni
2 1 1
Direct
0.508 0.508 0.000 Li
0.992 0.992 0.000 Li
0.250 0.750 0.500 Pt
0.750 0.250 0.500 Ni
```

Values from the calculation:
space group: No. 71
E_tot: -4.272 eV/atom
energy of formation from the pure elements: -1.44 eV/f.u.
distance to the lowest polymorph of the same formula: 0 meV per atom

***

Entry 3:
## Li3NiPt (PBE-GGA)

Data for an optimized crystal structure of Li3NiPt.

The structure in POSCAR format:
```
Li3NiPt
1.0
-3.924 0.994 1.185
-1.391 -0.854 -3.889
-0.676 -4.009 1.122
Li Pt Ni
3 1 1
Direct
0.500 0.000 0.000 Li
0.000 0.000 0.500 Li
0.000 0.500 0.000 Li
0.500 0.500 0.500 Pt
0.000 0.000 0.000 Ni
```

Values from the calculation:
space group: No. 221
E_tot: -3.090 eV/atom
energy of formation from the pure elements: 2.11 eV/f.u.
distance to the lowest polymorph of the same formula: 29 meV per atom

***

Entry 4:
## Li2NiPt (PBE-GGA)

Data for an optimized crystal structure of Li2NiPt.

The structure in POSCAR format:
```
Li2NiPt
1.0
4.674 0.002 0.000
1.858 4.289 0.000
-3.266 -2.145 2.565
Li Pt Ni
2 1 1
Direct
0.500 0.500 0.000 Li
0.000 0.000 0.000 Li
0.750 0.250 0.500 Pt
0.250 0.750 0.500 Ni
```

Values from the calculation:
space group: No. 139
E_tot: -4.209 eV/atom
energy of formation from the pure elements: -1.18 eV/f.u.
distance to the lowest polymorph of the same formula: 63 meV per atom

***

Entry 5:
## Li2NiPt (PBE-GGA)

Data for an optimized crystal structure of Li2NiPt.

The structure in POSCAR format:
```
Li2NiPt
1.0
-2.241 -2.419 -2.571
3.507 -1.169 -1.953
-0.342 -0.472 4.140
Pt Ni Li
1 1 2
Direct
0.750 0.250 0.500 Pt
0.500 0.500 0.000 Ni
0.250 0.750 0.500 Li
0.000 0.000 0.000 Li
```

Values from the calculation:
space group: No. 216
E_tot: -4.198 eV/atom
energy of formation from the pure elements: -1.14 eV/f.u.
distance to the lowest polymorph of the same formula: 74 meV per atom

***

Entry 6:
## Li2NiPt5 (PBE-GGA)

Data for an optimized crystal structure of Li2NiPt5.

The structure in POSCAR format:
```
Li2NiPt5
1.0
5.083 -0.297 -1.557
-2.851 4.218 -1.558
0.166 0.293 5.314
Pt Li Ni
5 2 1
Direct
0.278 0.778 0.000 Pt
0.278 0.278 0.500 Pt
0.778 0.278 0.000 Pt
0.277 0.277 0.000 Pt
0.778 0.778 0.500 Pt
0.278 0.778 0.500 Li
0.778 0.278 0.500 Li
0.778 0.778 0.000 Ni
```

Values from the calculation:
space group: No. 107
E_tot: -5.294 eV/atom
energy of formation from the pure elements: -2.54 eV/f.u.

***

Entry 7:
## LiNi5Pt6 (PBE-GGA)

Data for an optimized crystal structure of LiNi5Pt6.

The structure in POSCAR format:
```
LiNi5Pt6
1.0
-2.424 1.165 2.778
-4.220 -5.727 -1.281
6.298 -0.779 3.131
Li Pt Ni
1 6 5
Direct
0.000 0.000 0.000 Li
0.833 0.083 0.667 Pt
0.500 0.749 0.000 Pt
0.167 0.416 0.333 Pt
0.167 0.917 0.333 Pt
0.833 0.584 0.667 Pt
0.500 0.251 0.000 Pt
0.666 0.666 0.333 Ni
0.000 0.500 0.000 Ni
0.333 0.833 0.666 Ni
0.667 0.167 0.334 Ni
0.334 0.334 0.667 Ni
```

Values from the calculation:
space group: No. 71
E_tot: -5.759 eV/atom
energy of formation from the pure elements: -2.04 eV/f.u.

***

Entry 8:
## Li2NiPt (PBE-GGA)

Data for an optimized crystal structure of Li2NiPt.

The structure in POSCAR format:
```
Li2NiPt
1.0
3.625 0.000 0.000
0.000 3.625 0.000
0.000 0.000 3.924
Li Pt Ni
2 1 1
Direct
0.500 0.500 0.000 Li
0.000 0.000 0.000 Li
0.000 0.500 0.500 Pt
0.500 0.000 0.500 Ni
```

Values from the calculation:
space group: No. 123
E_tot: -4.198 eV/atom
energy of formation from the pure elements: -1.14 eV/f.u.
distance to the lowest polymorph of the same formula: 74 meV per atom

***

Entry 9:
## LiNi3Pt (PBE-GGA)

Data for an optimized crystal structure of LiNi3Pt.

The structure in POSCAR format:
```
LiNi3Pt
1.0
-1.960 -2.112 2.646
0.658 -3.237 -2.095
3.321 -0.604 1.977
Li Ni Pt
1 3 1
Direct
0.000 0.000 0.000 Li
0.000 0.000 0.500 Ni
0.500 0.000 0.000 Ni
0.000 0.500 0.000 Ni
0.500 0.500 0.500 Pt
```

Values from the calculation:
space group: No. 221
E_tot: -4.459 eV/atom
energy of formation from the pure elements: 3.00 eV/f.u.
distance to the lowest polymorph of the same formula: 0 meV per atom

***

Entry 10:
## LiNi3Pt (PBE-GGA)

Data for an optimized crystal structure of LiNi3Pt.

The structure in POSCAR format:
```
LiNi3Pt
1.0
4.647 0.000 0.000
0.000 4.647 0.000
0.000 0.000 4.647
Ni Li Pt
3 1 1
Direct
0.000 0.000 0.500 Ni
0.500 0.000 0.000 Ni
0.000 0.500 0.000 Ni
0.500 0.500 0.500 Li
0.000 0.000 0.000 Pt
```

Values from the calculation:
space group: No. 221
E_tot: -4.205 eV/atom
energy of formation from the pure elements: 4.28 eV/f.u.
distance to the lowest polymorph of the same formula: 255 meV per atom

***

Entry 11:
## LiNiPt2 (PBE-GGA)

Data for an optimized crystal structure of LiNiPt2.

The structure in POSCAR format:
```
LiNiPt2
1.0
-3.084 -1.333 1.174
0.056 -2.629 -2.838
1.930 -2.441 2.300
Pt Ni Li
2 1 1
Direct
0.000 0.000 0.000 Pt
0.000 0.500 0.500 Pt
0.500 0.000 0.500 Ni
0.500 0.500 0.000 Li
```

Values from the calculation:
space group: No. 123
E_tot: -5.287 eV/atom
energy of formation from the pure elements: -1.37 eV/f.u.

***

Entry 12:
## Li2NiPt (PBE-GGA)

Data for an optimized crystal structure of Li2NiPt.

The structure in POSCAR format:
```
Li2NiPt
1.0
-3.636 2.001 2.622
-2.490 0.186 4.226
1.269 3.341 2.871
Li Pt Ni
2 1 1
Direct
0.758 0.758 0.831 Li
0.995 0.995 0.921 Li
0.243 0.243 0.352 Pt
0.504 0.504 0.396 Ni
```

Values from the calculation:
space group: No. 8
E_tot: -4.235 eV/atom
energy of formation from the pure elements: -1.29 eV/f.u.
distance to the lowest polymorph of the same formula: 37 meV per atom

***

Entry 13:
## LiNi3Pt4 (PBE-GGA)

Data for an optimized crystal structure of LiNi3Pt4.

The structure in POSCAR format:
```
LiNi3Pt4
1.0
0.309 -3.824 -0.278
1.134 -0.173 3.672
-7.643 1.285 0.408
Ni Pt Li
3 4 1
Direct
0.751 0.251 0.502 Ni
0.249 0.749 0.498 Ni
0.000 0.500 0.000 Ni
0.375 0.375 0.750 Pt
0.625 0.625 0.250 Pt
0.125 0.125 0.250 Pt
0.875 0.875 0.750 Pt
0.500 0.000 0.000 Li
```

Values from the calculation:
space group: No. 139
E_tot: -5.632 eV/atom
energy of formation from the pure elements: -1.64 eV/f.u.

***

Entry 14:
## Li3NiPt (PBE-GGA)

Data for an optimized crystal structure of Li3NiPt.

The structure in POSCAR format:
```
Li3NiPt
1.0
-3.385 -2.167 2.274
2.920 -3.402 1.106
1.156 2.249 3.864
Li Pt Ni
3 1 1
Direct
0.000 0.500 0.000 Li
0.000 0.000 0.500 Li
0.500 0.000 0.000 Li
0.000 0.000 0.000 Pt
0.500 0.500 0.500 Ni
```

Values from the calculation:
space group: No. 221
E_tot: -3.120 eV/atom
energy of formation from the pure elements: 1.96 eV/f.u.
distance to the lowest polymorph of the same formula: 0 meV per atom

***

Entry 15:
## Li2NiPt (PBE-GGA)

Data for an optimized crystal structure of Li2NiPt.

The structure in POSCAR format:
```
Li2NiPt
1.0
0.000 2.894 2.894
2.894 0.000 2.894
2.894 2.894 0.000
Li Ni Pt
2 1 1
Direct
0.750 0.750 0.750 Li
0.250 0.250 0.250 Li
0.000 0.000 0.000 Ni
0.500 0.500 0.500 Pt
```

Values from the calculation:
space group: No. 225
E_tot: -4.124 eV/atom
energy of formation from the pure elements: -0.85 eV/f.u.
distance to the lowest polymorph of the same formula: 148 meV per atom

***

Entry 16:
## Li2NiPt (PBE-GGA)

Data for an optimized crystal structure of Li2NiPt.

The structure in POSCAR format:
```
Li2NiPt
1.0
2.641 0.000 0.000
0.000 4.004 0.000
0.000 0.000 5.072
Pt Ni Li
1 1 2
Direct
0.500 0.500 0.731 Pt
0.000 0.000 0.527 Ni
0.000 0.000 0.998 Li
0.500 0.500 0.244 Li
```

Values from the calculation:
space group: No. 25
E_tot: -4.165 eV/atom
energy of formation from the pure elements: -1.01 eV/f.u.
distance to the lowest polymorph of the same formula: 107 meV per atom

***

Entry 17:
## LiNiPt2 (PBE-GGA)

Data for an optimized crystal structure of LiNiPt2.

The structure in POSCAR format:
```
LiNiPt2
1.0
4.519 -0.005 0.000
-1.173 4.364 0.000
0.000 0.000 2.707
Pt Ni Li
2 1 1
Direct
0.500 0.500 0.000 Pt
0.000 0.000 0.000 Pt
0.000 0.500 0.500 Ni
0.500 0.000 0.500 Li
```

Values from the calculation:
space group: No. 65
E_tot: -5.325 eV/atom
energy of formation from the pure elements: -1.52 eV/f.u.

***

Entry 18:
## LiNiPt2 (PBE-GGA)

Data for an optimized crystal structure of LiNiPt2.

The structure in POSCAR format:
```
LiNiPt2
1.0
5.004 0.093 0.573
4.227 2.679 0.573
1.324 0.398 4.356
Li Pt Ni
1 2 1
Direct
0.498 0.498 0.590 Li
0.746 0.746 0.660 Pt
0.000 0.000 0.098 Pt
0.257 0.257 0.152 Ni
```

Values from the calculation:
space group: No. 8
E_tot: -5.286 eV/atom
energy of formation from the pure elements: -1.37 eV/f.u.

***

Entry 19:
## Li2NiPt (PBE-GGA)

Data for an optimized crystal structure of Li2NiPt.

The structure in POSCAR format:
```
Li2NiPt
1.0
6.693 0.000 0.000
0.000 6.693 0.000
3.346 3.346 2.449
Li Pt Ni
4 2 2
Direct
0.375 0.386 0.750 Li
0.875 0.864 0.750 Li
0.614 0.125 0.250 Li
0.136 0.625 0.250 Li
0.750 0.250 0.500 Pt
0.000 0.000 0.000 Pt
0.250 0.750 0.500 Ni
0.500 0.500 0.000 Ni
```

Values from the calculation:
space group: No. 122
E_tot: -3.889 eV/atom
energy of formation from the pure elements: 0.09 eV/f.u.
distance to the lowest polymorph of the same formula: 383 meV per atom

***

Entry 20:
## LiNiPt2 (PBE-GGA)

Data for an optimized crystal structure of LiNiPt2.

The structure in POSCAR format:
```
LiNiPt2
1.0
8.970 -0.014 -0.008
8.560 2.681 -0.008
8.560 1.302 2.344
Li Ni Pt
1 1 2
Direct
0.499 0.499 0.499 Li
0.750 0.750 0.750 Ni
0.005 0.005 0.005 Pt
0.246 0.246 0.246 Pt
```

Values from the calculation:
space group: No. 160
E_tot: -5.095 eV/atom
energy of formation from the pure elements: -0.60 eV/f.u.